Record 1
Computed, not measured: a relaxed Pu2As2PPd2 crystal at the GGA-PBE level of DFT.

Lattice parameters (Å, degrees): 6.0881 6.0881 7.2026 122.79 122.79 39.95
Last column: nearest neighbours and their distance in Å.
Positions (direct):
Pu 0.0614 0.0614 0.2951  2 P 2.76, 2 As 2.97
Pu 0.9386 0.9386 0.7049  2 P 2.76, 2 As 2.97
As 0.3525 0.3525 0.3545  2 Pd 2.48, 1 As 2.76
As 0.6475 0.6475 0.6455  2 Pd 2.48, 1 As 2.76
P 0.5000 0.5000 0.0000  2 Pd 2.36
Pd 0.2572 0.2572 0.8685  1 P 2.36, 2 As 2.48
Pd 0.7428 0.7428 0.1315  1 P 2.36, 2 As 2.48

Computed properties:
energy of formation = -70.4 kJ/mol of atoms

---

Record 2
Computed, not measured: a relaxed ZnPtSCl2 crystal at the GGA-PBE level of DFT.

Lattice parameters (Å, degrees): 4.9334 4.9334 4.6625 90.00 90.00 90.00
Last column: nearest neighbours and their distance in Å.
Positions (direct):
Zn 0.0000 0.0000 0.0000  8 Cl 3.39, 4 S 3.49
Pt 0.5000 0.5000 0.5000  2 S 2.33, 4 Cl 2.47
S 0.5000 0.5000 0.0000  2 Pt 2.33
Cl 0.0000 0.5000 0.5000  2 Pt 2.47
Cl 0.5000 0.0000 0.5000  2 Pt 2.47

Computed properties:
energy relative to the elements, uncorrected = 0.1328 eV/atom
energy relative to the lowest polymorph listed for this composition = 0.00 eV per formula unit

---

Record 3
Computed, not measured: a relaxed Pm8Ho3Th crystal at the GGA-PBE level of DFT.

Lattice parameters (Å, degrees): 6.3288 8.5963 8.6098 85.24 68.44 68.51
Last column: nearest neighbours and their distance in Å.
Positions (direct):
Pm 0.0000 0.0000 0.0000  4 Ho 3.56-3.71, 1 Th 3.57, 7 Pm 3.57-3.70
Pm 0.0005 0.4987 0.5006  1 Th 3.56, 7 Pm 3.56-3.71, 4 Ho 3.57-3.71
Pm 0.3258 0.1744 0.1754  4 Ho 3.56-3.71, 7 Pm 3.56-3.70, 1 Th 3.59
Pm 0.3264 0.6750 0.6747  4 Ho 3.56-3.71, 7 Pm 3.57-3.71, 1 Th 3.58
Pm 0.6538 0.7554 0.2557  7 Pm 3.59-3.70, 4 Ho 3.61-3.69, 1 Th 3.66
Pm 0.6628 0.2515 0.7515  7 Pm 3.56-3.71, 3 Ho 3.60-3.70, 2 Th 3.60-3.66
Pm 0.9865 0.4222 0.9228  4 Ho 3.60-3.68, 7 Pm 3.61-3.71, 1 Th 3.66
Pm 0.9874 0.9263 0.4272  7 Pm 3.56-3.70, 3 Ho 3.58-3.71, 2 Th 3.61-3.66
Ho 0.3261 0.5888 0.0890  2 Ho 3.56, 10 Pm 3.56-3.71
Ho 0.6505 0.3373 0.3382  1 Th 3.54, 10 Pm 3.56-3.71, 1 Ho 3.56
Ho 0.6509 0.8374 0.8377  1 Th 3.55, 1 Ho 3.56, 10 Pm 3.56-3.71
Th 0.3294 0.0890 0.5896  2 Ho 3.54-3.55, 10 Pm 3.56-3.66

Computed properties:
energy of formation = 3.7 kJ/mol of atoms

---

Record 4
Computed, not measured: a relaxed CdGa2Br crystal at the GGA-PBE level of DFT.

Lattice parameters (Å, degrees): 5.2124 5.2124 5.2124 60.00 60.00 60.00
Last column: nearest neighbours and their distance in Å.
Positions (direct):
Cd 0.0000 0.0000 0.0000  8 Ga 3.19
Ga 0.2500 0.2500 0.2500  4 Br 3.19, 4 Cd 3.19
Ga 0.7500 0.7500 0.7500  4 Br 3.19, 4 Cd 3.19
Br 0.5000 0.5000 0.5000  8 Ga 3.19

Computed properties:
energy relative to the elements, uncorrected = 0.0453 eV/atom
energy relative to the lowest polymorph listed for this composition = 0.00 eV per formula unit

---

no.,magnetic moment (μB/f.u.),N(E_F) (states/eV/cell)
1,9.99,20.43
2,0.00,4.25
3,0.00,21.06
4,0.00,3.20